No. 1
# Ca2CuBiF

Crystalline Ca2CuBiF at its relaxed geometry (PBE, Alexandria).

energy relative to the elements, uncorrected	-1.23	eV per atom
offset from the most stable computed form	0	meV/atom
symmetry	P4/mmm, No. 123
V	78	Å³/cell
total magnetization	0.00	μB/cell
raw total energy	-20.0	eV for the cell shown

abc: 5.9816 5.9816 2.1729
angles: 90.00 90.00 90.00
With the nearest neighbours (Å) after each atom.
Sites, in units of the cell vectors:
Ca1 0.0000 0.5000 0.0000  2 Ca 2.17
Ca2 0.5000 0.0000 0.0000  2 Ca 2.17
Cu1 0.0000 0.0000 0.0000  2 Bi 1.09
Bi1 0.0000 0.0000 0.5000  2 Cu 1.09
F1 0.5000 0.5000 0.5000  2 F 2.17

No. 2
# SrMn2Sb

Crystalline SrMn2Sb at its relaxed geometry (PBE, Alexandria).

energy relative to the elements, uncorrected	0.18	eV per atom
symmetry	P4mm, No. 99
V	92	Å³/cell
total magnetization	7.04	μB/cell
raw total energy	-23.4	eV for the cell shown

abc: 3.5285 3.5285 7.3881
angles: 90.00 90.00 90.00
With the nearest neighbours (Å) after each atom.
Sites, in units of the cell vectors:
Sr1 0.0000 0.0000 0.0000  5 Mn 3.37-3.58, 4 Sb 3.50, 4 Sr 3.53
Mn1 0.0000 0.0000 0.4841  4 Mn 2.82, 4 Sb 2.84
Mn2 0.5000 0.5000 0.3075  1 Sb 2.66, 4 Mn 2.82
Sb1 0.5000 0.5000 0.6678  5 Mn 2.66-2.84